KScGa2 | PBE-GGA | optimized geometry

Calculated values
Crystal system: tetragonal
Space group: I-42d, No. 122
Distance to the lowest polymorph of the same formula in meV/atom: 178
Total moment in μB/atom: 0.000

The structure in POSCAR format:
```
KScGa2
1.0
-2.669 2.669 9.683
2.669 -2.669 9.683
2.669 2.669 -9.683
K Sc Ga
2 2 4
Cartesian
0.000 0.000 0.000 K
0.000 2.669 4.841 K
2.669 0.000 4.841 Sc
0.000 0.000 9.683 Sc
1.334 -0.005 7.262 Ga
2.664 1.334 2.421 Ga
1.334 2.674 -2.421 Ga
0.005 1.334 12.103 Ga
```

VTcP2S | PBE-GGA | optimized geometry

Calculated values
Formation energy without anion corrections in meV/atom: 874
Crystal system: tetragonal
Space group: P4/mmm, No. 123
Distance to the lowest polymorph of the same formula in meV/atom: 158
Total moment in μB/atom: 0.080

The structure in POSCAR format:
```
VTcP2S
1.0
4.451 0.000 0.000
0.000 4.451 0.000
0.000 0.000 5.020
V Tc P S
1 1 2 1
Cartesian
0.000 0.000 0.000 V
2.226 2.226 2.510 Tc
0.000 2.226 2.510 P
2.226 0.000 2.510 P
2.226 2.226 0.000 S
```

Ac2TbH | PBE-GGA | optimized geometry

Calculated values
Crystal system: tetragonal
Space group: P4/mmm, No. 123
Distance to the lowest polymorph of the same formula in meV/atom: 35
Total moment in μB/atom: 0.000

The structure in POSCAR format:
```
Ac2TbH
1.0
3.702 0.000 0.000
0.000 3.702 0.000
0.000 0.000 9.051
Ac Tb H
2 1 1
Cartesian
0.000 0.000 1.802 Ac
0.000 0.000 7.249 Ac
1.851 1.851 4.526 Tb
1.851 1.851 0.000 H
```